Compound: Co2Pd5Pt4
Source: Alexandria via LeMat-Bulk
Functional: PBE
Structure: optimized geometry

Values from the calculation:
E: -5.858 eV/atom

Cell lengths 6.929, 2.735, 8.769 Å; angles 90.00, 94.53, 90.00 degrees
Sites, in units of the cell vectors:
1 Co 0.067 0.000 0.131
2 Co 0.933 0.000 0.869
3 Pd 0.172 0.000 0.653
4 Pd 0.444 0.000 0.186
5 Pd 0.500 0.000 0.500
6 Pd 0.556 0.000 0.814
7 Pd 0.828 0.000 0.347
8 Pt 0.183 0.500 0.374
9 Pt 0.251 0.500 0.934
10 Pt 0.749 0.500 0.066
11 Pt 0.817 0.500 0.626